Entry 1:
# CePr2Ho3Se6 PBE relaxed
# Total energy (eV per atom): -5.967
# N(E_F) (states/eV per cell): 20.78
data_CePr2Ho3Se6
_chemical_formula_sum 'Ce2 Pr4 Ho6 Se12'
_cell_length_a 18.230
_cell_length_b 4.094
_cell_length_c 8.431
_cell_angle_alpha 90.00
_cell_angle_beta 105.09
_cell_angle_gamma 90.00
_space_group_name_H-M_alt 'C 1 2/m 1'
_space_group_IT_number 12
loop_
_space_group_symop_operation_xyz
'x,y,z'
'-x,-y,-z'
'-x,y,-z'
'x,-y,z'
'x+1/2,y+1/2,z'
'-x+1/2,-y+1/2,-z'
'-x+1/2,y+1/2,-z'
'x+1/2,-y+1/2,z'
loop_
_atom_site_label
_atom_site_type_symbol
_atom_site_fract_x
_atom_site_fract_y
_atom_site_fract_z
Ce1 Ce 0.000 0.000 0.000
Pr1 Pr 0.166 0.500 0.332
Ho1 Ho 0.000 0.000 0.500
Ho2 Ho 0.168 0.500 0.835
Se1 Se 0.005 0.500 0.742
Se2 Se 0.163 0.000 0.595
Se3 Se 0.169 0.000 0.072

=====

Entry 2:
# Er4PuP5 PBE relaxed
# N(E_F) (states/eV per cell): 24.08
# Formation energy from the elements (eV per atom): -1.5114
data_Er4PuP5
_chemical_formula_sum 'Er8 Pu2 P10'
_cell_length_a 13.140
_cell_length_b 3.980
_cell_length_c 9.716
_cell_angle_alpha 90.00
_cell_angle_beta 119.44
_cell_angle_gamma 90.00
_space_group_name_H-M_alt 'C 1 2/m 1'
_space_group_IT_number 12
loop_
_space_group_symop_operation_xyz
'x,y,z'
'-x,-y,-z'
'-x,y,-z'
'x,-y,z'
'x+1/2,y+1/2,z'
'-x+1/2,-y+1/2,-z'
'-x+1/2,y+1/2,-z'
'x+1/2,-y+1/2,z'
loop_
_atom_site_label
_atom_site_type_symbol
_atom_site_fract_x
_atom_site_fract_y
_atom_site_fract_z
Er1 Er 0.100 0.000 0.402
Er2 Er 0.199 0.500 0.798
Pu1 Pu 0.000 0.500 0.000
P1 P 0.000 0.500 0.500
P2 P 0.099 0.000 0.901
P3 P 0.200 0.500 0.300

=====

Entry 3:
# Sr2TlBF PBE relaxed
# Total energy (eV per atom): -3.242
# N(E_F) (states/eV per cell): 3.06
data_Sr2TlBF
_chemical_formula_sum 'Sr2 Tl1 B1 F1'
_cell_length_a 5.058
_cell_length_b 5.058
_cell_length_c 4.986
_cell_angle_alpha 90.00
_cell_angle_beta 90.00
_cell_angle_gamma 90.00
_space_group_name_H-M_alt 'P 4/m m m'
_space_group_IT_number 123
_space_group_name_Hall '-P 4 2'
loop_
_atom_site_label
_atom_site_type_symbol
_atom_site_fract_x
_atom_site_fract_y
_atom_site_fract_z
Sr1 Sr 0.000 0.500 0.000
Tl1 Tl 0.000 0.000 0.500
B1 B 0.500 0.500 0.500
F1 F 0.000 0.000 0.000

=====

Entry 4:
# ZrTa2Ni PBE relaxed
# Energy above the most stable polymorph in this dataset (eV/atom): 0.2001
# N(E_F) (states/eV per cell): 11.55
# Formation energy from the elements (eV per atom): 0.1311
data_ZrTa2Ni
_chemical_formula_sum 'Zr3 Ta6 Ni3'
_cell_length_a 3.0656
_cell_length_b 3.0656
_cell_length_c 26.6055
_cell_angle_alpha 90.00
_cell_angle_beta 90.00
_cell_angle_gamma 120.00
_space_group_name_H-M_alt 'R 3 m'
_space_group_IT_number 160
_space_group_name_Hall 'R 3 -2"'
loop_
_atom_site_label
_atom_site_type_symbol
_atom_site_fract_x
_atom_site_fract_y
_atom_site_fract_z
Zr1 Zr 0.0000 0.0000 0.0000
Ta1 Ta 0.0000 0.0000 0.5129
Ta2 Ta 0.0000 0.0000 0.7594
Ni1 Ni 0.0000 0.0000 0.2511

=====

Entry 5:
# PuFe2AsN PBE relaxed
# Total energy (eV per atom): -9.464
# N(E_F) (states/eV per cell): 41.83
data_PuFe2AsN
_chemical_formula_sum 'Pu4 Fe8 As4 N4'
_cell_length_a 3.685
_cell_length_b 10.707
_cell_length_c 6.827
_cell_angle_alpha 90.00
_cell_angle_beta 90.00
_cell_angle_gamma 90.00
_space_group_name_H-M_alt 'C m c m'
_space_group_IT_number 63
_space_group_name_Hall '-C 2c 2'
loop_
_atom_site_label
_atom_site_type_symbol
_atom_site_fract_x
_atom_site_fract_y
_atom_site_fract_z
Pu1 Pu 0.000 0.043 0.250
Fe1 Fe 0.000 0.336 0.055
As1 As 0.000 0.231 0.750
N1 N 0.000 0.500 0.000

=====

Entry 6:
# Er2Hg3Bi3 PBE relaxed
# N(E_F) (states/eV per cell): 3.58
# Formation energy from the elements (eV per atom): -0.3337
data_Er2Hg3Bi3
_chemical_formula_sum 'Er2 Hg3 Bi3'
_cell_length_a 4.577
_cell_length_b 5.076
_cell_length_c 9.310
_cell_angle_alpha 90.00
_cell_angle_beta 90.00
_cell_angle_gamma 90.00
_space_group_name_H-M_alt 'P m m m'
_space_group_IT_number 47
loop_
_space_group_symop_operation_xyz
'x,y,z'
'-x,-y,-z'
'-x,-y,z'
'x,y,-z'
'x,-y,-z'
'-x,y,z'
'-x,y,-z'
'x,-y,z'
loop_
_atom_site_label
_atom_site_type_symbol
_atom_site_fract_x
_atom_site_fract_y
_atom_site_fract_z
Er1 Er 0.000 0.000 0.242
Hg1 Hg 0.000 0.500 0.000
Hg2 Hg 0.500 0.500 0.237
Bi1 Bi 0.000 0.500 0.500
Bi2 Bi 0.500 0.000 0.000
Bi3 Bi 0.500 0.000 0.500

=====

Entry 7:
# NbSnF3 PBE relaxed
# Energy above the most stable polymorph in this dataset (eV/atom): 0.0000
# N(E_F) (states/eV per cell): 3.83
data_NbSnF3
_chemical_formula_sum 'Nb1 Sn1 F3'
_cell_length_a 4.388
_cell_length_b 4.388
_cell_length_c 4.388
_cell_angle_alpha 90.00
_cell_angle_beta 90.00
_cell_angle_gamma 90.00
_space_group_name_H-M_alt 'P m -3 m'
_space_group_IT_number 221
_space_group_name_Hall '-P 4 2 3'
loop_
_atom_site_label
_atom_site_type_symbol
_atom_site_fract_x
_atom_site_fract_y
_atom_site_fract_z
Nb1 Nb 0.000 0.000 0.000
Sn1 Sn 0.500 0.500 0.500
F1 F 0.000 0.000 0.500